1.
Computed, not measured: RbPuGeSe4 after structural relaxation at the PBE level of DFT.

## Properties
ΔE_f (raw) (eV/atom): -0.95
D(E_F) (states/eV/atom): 1.709
Uncorrected energy (eV per cell): -81.02
Size of the total moment (Bohr magnetons per cell): 10.0

a b c (Å): 6.853 7.013 9.546
angles (deg): 90.00 108.12 90.00
Last column: magnetic moment on the atom in μB.
Atoms (fractional coordinates):
Rb 0.750 0.750 0.941  0.00
Rb 0.250 0.250 0.059  0.00
Pu 0.769 0.750 0.448  5.14
Pu 0.231 0.250 0.552  5.14
Ge 0.221 0.750 0.330  0.01
Ge 0.779 0.250 0.670  0.01
Se 0.014 0.511 0.707  -0.06
Se 0.986 0.011 0.293  -0.06
Se 0.986 0.489 0.293  -0.06
Se 0.014 0.989 0.707  -0.06
Se 0.420 0.750 0.168  -0.03
Se 0.580 0.250 0.832  -0.03
Se 0.432 0.750 0.579  -0.05
Se 0.568 0.250 0.421  -0.05

2.
Computed, not measured: Rb2PuGeSe4 after structural relaxation at the PBE level of DFT.

## Properties
ΔE_f (raw) (eV/atom): -0.98
D(E_F) (states/eV/atom): 1.264
Uncorrected energy (eV per cell): -85.29
Size of the total moment (Bohr magnetons per cell): 8.0

a b c (Å): 8.850 8.850 8.802
angles (deg): 119.82 119.82 89.54
Last column: magnetic moment on the atom in μB.
Atoms (fractional coordinates):
Rb 0.500 0.000 0.000  -0.01
Rb 0.500 0.000 0.500  -0.01
Rb 0.000 0.000 0.500  0.00
Rb 0.500 0.500 0.000  0.00
Pu 0.000 0.500 0.000  4.76
Pu 0.000 0.500 0.500  4.76
Ge 0.500 0.500 0.500  -0.01
Ge 0.000 0.000 0.000  -0.01
Se 0.190 0.727 0.959  -0.13
Se 0.773 0.310 0.541  -0.13
Se 0.227 0.690 0.459  -0.13
Se 0.810 0.273 0.041  -0.13
Se 0.774 0.726 0.963  -0.13
Se 0.774 0.726 0.537  -0.13
Se 0.226 0.274 0.463  -0.13
Se 0.226 0.274 0.037  -0.13

3.
Computed, not measured: RbPuGeTe3 after structural relaxation at the PBE level of DFT.

## Properties
ΔE_f (raw) (eV/atom): -0.75
D(E_F) (states/eV/atom): 2.107
Uncorrected energy (eV per cell): -67.73
Size of the total moment (Bohr magnetons per cell): 9.9

a b c (Å): 4.377 9.505 11.984
angles (deg): 110.56 90.00 90.00
Last column: magnetic moment on the atom in μB.
Atoms (fractional coordinates):
Rb 0.250 0.235 0.281  0.00
Rb 0.750 0.765 0.719  0.00
Pu 0.250 0.640 0.161  5.19
Pu 0.750 0.360 0.839  5.19
Ge 0.250 0.121 0.556  0.00
Ge 0.750 0.879 0.444  0.00
Te 0.750 0.891 0.221  -0.07
Te 0.250 0.109 0.779  -0.07
Te 0.250 0.678 0.431  -0.04
Te 0.750 0.322 0.569  -0.04
Te 0.750 0.394 0.106  -0.12
Te 0.250 0.606 0.894  -0.12

4.
Computed, not measured: Pu2ReGe after structural relaxation at the PBE level of DFT.

## Properties
D(E_F) (states/eV/atom): 2.038
Uncorrected energy (eV per cell): -46.07
Size of the total moment (Bohr magnetons per cell): 8.8

a b c (Å): 4.133 4.346 4.346
angles (deg): 90.00 90.00 90.00
Last column: magnetic moment on the atom in μB.
Atoms (fractional coordinates):
Re 0.500 0.000 0.000  -0.99
Ge 0.500 0.500 0.500  -0.10
Pu 0.000 0.000 0.500  4.88
Pu 0.000 0.500 0.000  4.88

5.
Computed, not measured: PuRe4Ge2 after structural relaxation at the PBE level of DFT.

## Properties
D(E_F) (states/eV/atom): 2.269
Uncorrected energy (eV per cell): -74.41
Size of the total moment (Bohr magnetons per cell): 4.7

a b c (Å): 4.084 4.164 7.544
angles (deg): 106.02 90.00 90.00
Last column: magnetic moment on the atom in μB.
Atoms (fractional coordinates):
Re 0.500 0.810 0.621  -0.14
Re 0.000 0.698 0.395  -0.04
Re 0.500 0.190 0.379  -0.14
Re 0.000 0.302 0.605  -0.04
Ge 0.500 0.586 0.172  -0.04
Ge 0.500 0.414 0.828  -0.04
Pu 0.000 0.000 0.000  5.06

6.
Computed, not measured: PuReGe after structural relaxation at the PBE level of DFT.

## Properties
D(E_F) (states/eV/atom): 2.266
Uncorrected energy (eV per cell): -31.36
Size of the total moment (Bohr magnetons per cell): 4.4

a b c (Å): 3.538 4.383 4.383
angles (deg): 120.00 90.00 90.00
Last column: magnetic moment on the atom in μB.
Atoms (fractional coordinates):
Re 0.167 0.333 0.667  -0.51
Ge 0.167 0.000 0.000  0.00
Pu 0.667 0.667 0.333  4.79

7.
Computed, not measured: PuRe2Ge2 after structural relaxation at the PBE level of DFT.

## Properties
D(E_F) (states/eV/atom): 2.526
Uncorrected energy (eV per cell): -98.98
Size of the total moment (Bohr magnetons per cell): 10.3

a b c (Å): 4.146 4.159 11.279
angles (deg): 100.62 100.59 90.00
Last column: magnetic moment on the atom in μB.
Atoms (fractional coordinates):
Pu 0.839 0.589 0.678  -5.17
Pu 0.161 0.411 0.322  -5.17
Re 0.539 0.289 0.077  0.13
Re 0.965 0.215 0.929  0.04
Re 0.461 0.711 0.923  0.13
Re 0.035 0.785 0.071  0.04
Ge 0.721 0.971 0.442  0.03
Ge 0.279 0.029 0.558  0.03
Ge 0.393 0.143 0.785  0.02
Ge 0.607 0.857 0.215  0.02

8.
Computed, not measured: Pu2ReGe after structural relaxation at the PBE level of DFT.

## Properties
D(E_F) (states/eV/atom): 2.170
Uncorrected energy (eV per cell): -44.05
Size of the total moment (Bohr magnetons per cell): 8.9

a b c (Å): 2.891 2.891 10.919
angles (deg): 82.39 82.39 60.00
Last column: magnetic moment on the atom in μB.
Atoms (fractional coordinates):
Re 0.000 0.000 0.000  -0.06
Ge 0.500 0.500 0.500  -0.08
Pu 0.085 0.085 0.744  4.50
Pu 0.915 0.915 0.256  4.50

- The highest uncorrected energy belongs to which entry?
  PuReGe

Please write out number 2 again, unchanged.
Computed, not measured: Rb2PuGeSe4 after structural relaxation at the PBE level of DFT.

## Properties
ΔE_f (raw) (eV/atom): -0.98
D(E_F) (states/eV/atom): 1.264
Uncorrected energy (eV per cell): -85.29
Size of the total moment (Bohr magnetons per cell): 8.0

a b c (Å): 8.850 8.850 8.802
angles (deg): 119.82 119.82 89.54
Last column: magnetic moment on the atom in μB.
Atoms (fractional coordinates):
Rb 0.500 0.000 0.000  -0.01
Rb 0.500 0.000 0.500  -0.01
Rb 0.000 0.000 0.500  0.00
Rb 0.500 0.500 0.000  0.00
Pu 0.000 0.500 0.000  4.76
Pu 0.000 0.500 0.500  4.76
Ge 0.500 0.500 0.500  -0.01
Ge 0.000 0.000 0.000  -0.01
Se 0.190 0.727 0.959  -0.13
Se 0.773 0.310 0.541  -0.13
Se 0.227 0.690 0.459  -0.13
Se 0.810 0.273 0.041  -0.13
Se 0.774 0.726 0.963  -0.13
Se 0.774 0.726 0.537  -0.13
Se 0.226 0.274 0.463  -0.13
Se 0.226 0.274 0.037  -0.13

- What is the formula in the fifth record?
  PuRe4Ge2